First-principles (PBE) data for LiScBr after structural relaxation, as listed in Alexandria.

Geometry as POSCAR:
```
LiScBr
1.0
0.000 3.248 3.248
3.248 0.000 3.248
3.248 3.248 0.000
Li Sc Br
1 1 1
direct
0.000 0.000 0.000 Li
0.500 0.500 0.500 Sc
0.750 0.750 0.750 Br
```

Summary:
Space-group type: F-43m (216)
Formation energy without anion corrections (eV per atom): -0.146
Energy above the lowest structure with this stoichiometry (eV per atom): 0.468
Volume (Å³ per cell): 69


First-principles (PBE) data for Li2ScBr after structural relaxation, as listed in Alexandria.

Geometry as POSCAR:
```
Li2ScBr
1.0
3.662 0.000 0.000
0.000 3.627 0.000
-1.821 0.000 6.275
Li Sc Br
2 1 1
direct
0.000 0.000 0.000 Li
0.403 0.500 0.804 Li
0.766 0.000 0.530 Sc
0.170 0.500 0.337 Br
```

Summary:
Space-group type: Pm (6)
Formation energy without anion corrections (eV per atom): -0.374
Energy above the lowest structure with this stoichiometry (eV per atom): 0.088
Volume (Å³ per cell): 83


First-principles (PBE) data for LiSc4Br after structural relaxation, as listed in Alexandria.

Geometry as POSCAR:
```
LiSc4Br
1.0
0.000 4.315 4.315
4.315 0.000 4.315
4.315 4.315 0.000
Li Sc Br
1 4 1
direct
0.000 0.000 0.000 Li
0.120 0.627 0.627 Sc
0.627 0.120 0.627 Sc
0.627 0.627 0.120 Sc
0.627 0.627 0.627 Sc
0.250 0.250 0.250 Br
```

Summary:
Space-group type: F-43m (216)
Formation energy without anion corrections (eV per atom): 0.371
Volume (Å³ per cell): 161


First-principles (PBE) data for LiScBr2 after structural relaxation, as listed in Alexandria.

Geometry as POSCAR:
```
LiScBr2
1.0
3.578 0.000 0.000
0.000 3.578 0.000
0.000 0.000 7.819
Li Sc Br
1 1 2
direct
0.000 0.000 0.000 Li
0.500 0.500 0.297 Sc
0.000 0.000 0.482 Br
0.500 0.500 0.936 Br
```

Summary:
Space-group type: P4mm (99)
Formation energy without anion corrections (eV per atom): -1.025
Energy above the lowest structure with this stoichiometry (eV per atom): 0.046
Volume (Å³ per cell): 100


First-principles (PBE) data for Li2ScBr after structural relaxation, as listed in Alexandria.

Geometry as POSCAR:
```
Li2ScBr
1.0
1.734 1.001 8.842
-1.734 1.001 8.842
0.000 -2.002 8.842
Li Sc Br
2 1 1
direct
0.230 0.230 0.230 Li
0.770 0.770 0.770 Li
0.000 0.000 0.000 Sc
0.500 0.500 0.500 Br
```

Summary:
Space-group type: R-3m (166)
Formation energy without anion corrections (eV per atom): -0.462
Energy above the lowest structure with this stoichiometry (eV per atom): 0.000
Volume (Å³ per cell): 92


First-principles (PBE) data for LiScBr2 after structural relaxation, as listed in Alexandria.

Geometry as POSCAR:
```
LiScBr2
1.0
1.892 1.092 8.320
-1.892 1.092 8.320
0.000 -2.185 8.320
Li Sc Br
1 1 2
direct
0.000 0.000 0.000 Li
0.500 0.500 0.500 Sc
0.395 0.395 0.395 Br
0.605 0.605 0.605 Br
```

Summary:
Space-group type: R-3m (166)
Formation energy without anion corrections (eV per atom): -1.070
Energy above the lowest structure with this stoichiometry (eV per atom): 0.001
Volume (Å³ per cell): 103


Q: The highest volume belongs to which entry?
A: LiSc4Br